# 1
This record from the Alexandria database describes an optimized crystal structure of Rb3Np2TiS6. The functional is PBE.

Lattice parameters (Å, degrees): 6.8705 6.8705 8.0211 98.22 98.22 120.00
Closest atoms and distances in Å follow each position.
Positions (direct):
Rb: 0.0000 0.0000 0.0000  6 S 3.28-3.40
Rb: 0.3320 0.6680 0.0000  6 S 3.28-3.39
Rb: 0.6680 0.3320 0.0000  6 S 3.28-3.39
Np: 0.1665 0.8335 0.5000  6 S 2.76
Np: 0.8335 0.1665 0.5000  6 S 2.76
Ti: 0.5000 0.5000 0.5000  6 S 2.60-2.61
S: 0.1217 0.4375 0.3127  1 Ti 2.60, 2 Np 2.76
S: 0.2469 0.2469 0.6879  1 Ti 2.61, 2 Np 2.76
S: 0.4375 0.1217 0.3127  1 Ti 2.60, 2 Np 2.76
S: 0.5625 0.8783 0.6873  1 Ti 2.60, 2 Np 2.76
S: 0.7531 0.7531 0.3121  1 Ti 2.61, 2 Np 2.76
S: 0.8783 0.5625 0.6873  1 Ti 2.60, 2 Np 2.76

Values from the calculation:
The calculation puts the density of states at the Fermi level at 21.7 states/eV/cell.

***

# 2
This record from the Alexandria database describes an optimized crystal structure of Rb4Np3TiS8. The functional is PBE.

Lattice parameters (Å, degrees): 8.9721 8.9721 8.9721 52.99 52.99 52.99
Closest atoms and distances in Å follow each position.
Positions (direct):
Rb: 0.0000 0.0000 0.0000  6 S 3.41
Rb: 0.0000 0.5000 0.5000  6 S 3.29-3.30
Rb: 0.5000 0.0000 0.5000  6 S 3.29-3.30
Rb: 0.5000 0.5000 0.0000  6 S 3.29-3.30
Np: 0.0000 0.0000 0.5000  6 S 2.75-2.77
Np: 0.0000 0.5000 0.0000  6 S 2.75-2.77
Np: 0.5000 0.0000 0.0000  6 S 2.75-2.77
Ti: 0.5000 0.5000 0.5000  6 S 2.63
S: 0.2315 0.2315 0.2315  3 Np 2.75
S: 0.2443 0.7211 0.7211  1 Ti 2.63, 2 Np 2.77
S: 0.2789 0.2789 0.7557  1 Ti 2.63, 2 Np 2.77
S: 0.2789 0.7557 0.2789  1 Ti 2.63, 2 Np 2.77
S: 0.7211 0.2443 0.7211  1 Ti 2.63, 2 Np 2.77
S: 0.7211 0.7211 0.2443  1 Ti 2.63, 2 Np 2.77
S: 0.7557 0.2789 0.2789  1 Ti 2.63, 2 Np 2.77
S: 0.7685 0.7685 0.7685  3 Np 2.75

Values from the calculation:
The calculation puts the density of states at the Fermi level at 32.6 states/eV/cell.

***

# 3
This record from the Alexandria database describes an optimized crystal structure of RbNpTiS3. The functional is PBE.

Lattice parameters (Å, degrees): 9.1318 4.0433 9.7004 90.00 108.90 90.00
Closest atoms and distances in Å follow each position.
Positions (direct):
Rb: 0.2062 0.2500 0.2276  7 S 3.37-3.69
Rb: 0.7938 0.7500 0.7724  7 S 3.37-3.69
Np: 0.3334 0.7500 0.8530  6 S 2.72-2.89
Np: 0.6666 0.2500 0.1470  6 S 2.72-2.89
Ti: 0.0823 0.2500 0.6034  4 S 2.36-2.41
Ti: 0.9177 0.7500 0.3966  4 S 2.36-2.41
S: 0.1228 0.2500 0.8558  1 Ti 2.36
S: 0.1886 0.7500 0.5402  3 Ti 2.41
S: 0.4638 0.7500 0.1483  3 Np 2.72-2.74
S: 0.5362 0.2500 0.8517  3 Np 2.72-2.74
S: 0.8114 0.2500 0.4598  3 Ti 2.41
S: 0.8772 0.7500 0.1442  1 Ti 2.36

Values from the calculation:
The calculation puts the density of states at the Fermi level at 21.3 states/eV/cell.

***

# 4
This record from the Alexandria database describes an optimized crystal structure of Rb3NpTl2S6. The functional is PBE.

Lattice parameters (Å, degrees): 7.6371 7.6371 7.7215 99.63 99.63 119.35
Closest atoms and distances in Å follow each position.
Positions (direct):
Rb: 0.0000 0.0000 0.0000  4 S 3.25
Rb: 0.3204 0.6796 0.0000  6 S 3.27-3.61
Rb: 0.6796 0.3204 0.0000  6 S 3.27-3.61
Np: 0.5000 0.5000 0.5000  6 S 2.52-2.54
Tl: 0.1649 0.8351 0.5000  6 S 3.15-3.17
Tl: 0.8351 0.1649 0.5000  6 S 3.15-3.17
S: 0.1603 0.4359 0.3052  1 Np 2.54
S: 0.2983 0.2983 0.6982  1 Np 2.52
S: 0.4359 0.1603 0.3052  1 Np 2.54
S: 0.5641 0.8397 0.6948  1 Np 2.54
S: 0.7017 0.7017 0.3018  1 Np 2.52
S: 0.8397 0.5641 0.6948  1 Np 2.54

***

# 5
This record from the Alexandria database describes an optimized crystal structure of RbNp3Tl2S8. The functional is PBE.

Lattice parameters (Å, degrees): 9.0751 9.0751 9.0751 53.16 53.16 53.16
Closest atoms and distances in Å follow each position.
Positions (direct):
Rb: 0.0000 0.0000 0.0000  4 S 3.17-3.20
Np: 0.1377 0.6373 0.6373  6 S 2.63-2.72
Np: 0.6373 0.1377 0.6373  6 S 2.63-2.72
Np: 0.6373 0.6373 0.1377  6 S 2.63-2.72
Tl: 0.2612 0.2612 0.2612  3 S 2.96
Tl: 0.6418 0.6418 0.6418  6 S 3.18-3.33
S: 0.3812 0.3812 0.8328  2 Np 2.65, 1 Tl 2.96
S: 0.3812 0.8328 0.3812  2 Np 2.65, 1 Tl 2.96
S: 0.4114 0.4114 0.4114  3 Np 2.72
S: 0.4472 0.8929 0.8929  2 Np 2.63
S: 0.8328 0.3812 0.3812  2 Np 2.65, 1 Tl 2.96
S: 0.8629 0.8629 0.8629  3 Np 2.72
S: 0.8929 0.4472 0.8929  2 Np 2.63
S: 0.8929 0.8929 0.4472  2 Np 2.63

Values from the calculation:
The calculation puts the density of states at the Fermi level at 25.1 states/eV/cell.

***

# 6
This record from the Alexandria database describes an optimized crystal structure of Rb2NpTl3S6. The functional is PBE.

Lattice parameters (Å, degrees): 8.0264 8.0264 7.4277 99.93 99.93 121.28
Closest atoms and distances in Å follow each position.
Positions (direct):
Rb: 0.1704 0.8296 0.0000  6 S 3.32-3.38
Rb: 0.8296 0.1704 0.0000  6 S 3.32-3.38
Np: 0.5000 0.5000 0.0000  6 S 2.50-2.57
Tl: 0.0000 0.0000 0.5000  4 S 3.11
Tl: 0.3531 0.6469 0.5000  4 S 2.95-3.10
Tl: 0.6469 0.3531 0.5000  4 S 2.95-3.10
S: 0.1754 0.4250 0.7898  1 Np 2.50
S: 0.3073 0.3073 0.2168  1 Np 2.57
S: 0.4250 0.1754 0.7898  1 Np 2.50
S: 0.5750 0.8246 0.2102  1 Np 2.50
S: 0.6927 0.6927 0.7832  1 Np 2.57
S: 0.8246 0.5750 0.2102  1 Np 2.50

***

# 7
This record from the Alexandria database describes an optimized crystal structure of RbNp2Tl3S6. The functional is PBE.

Lattice parameters (Å, degrees): 10.0130 10.0130 8.9144 102.99 102.99 23.69
Closest atoms and distances in Å follow each position.
Positions (direct):
Rb: 0.0000 0.0000 0.0000  6 S 3.23-3.51
Np: 0.3239 0.3239 0.6598  6 S 2.52-2.78
Np: 0.6761 0.6761 0.3402  6 S 2.52-2.78
Tl: 0.0000 0.0000 0.5000  4 S 3.07
Tl: 0.3356 0.3356 0.1735  3 S 2.95-3.27
Tl: 0.6644 0.6644 0.8265  3 S 2.95-3.27
S: 0.1816 0.1816 0.5519  3 Np 2.73-2.78
S: 0.1825 0.1825 0.1427  2 Np 2.73, 1 Tl 2.95
S: 0.4557 0.4557 0.7152  1 Np 2.52
S: 0.5443 0.5443 0.2848  1 Np 2.52
S: 0.8175 0.8175 0.8573  2 Np 2.73, 1 Tl 2.95
S: 0.8184 0.8184 0.4481  3 Np 2.73-2.78

Values from the calculation:
The calculation puts the density of states at the Fermi level at 15.0 states/eV/cell.

***

# 8
This record from the Alexandria database describes an optimized crystal structure of Rb3Np3TlS8. The functional is PBE.

Lattice parameters (Å, degrees): 8.3371 8.3371 8.9637 117.67 117.67 59.76
Closest atoms and distances in Å follow each position.
Positions (direct):
Rb: 0.0000 0.0000 0.0000  6 S 3.35-3.47
Rb: 0.0000 0.5000 0.0000  6 S 3.35-3.47
Rb: 0.5000 0.0000 0.0000  6 S 3.35-3.47
Np: 0.0000 0.5000 0.5000  6 S 2.69-2.80
Np: 0.5000 0.0000 0.5000  6 S 2.69-2.80
Np: 0.5000 0.5000 0.5000  6 S 2.68-2.83
Tl: 0.0000 0.0000 0.5000  6 S 3.02-3.03
S: 0.2477 0.2477 0.6879  2 Np 2.69
S: 0.2489 0.6940 0.6888  2 Np 2.68-2.71
S: 0.2686 0.2686 0.3083  3 Np 2.80-2.83
S: 0.3060 0.7511 0.3112  2 Np 2.68-2.71
S: 0.6940 0.2489 0.6888  2 Np 2.68-2.71
S: 0.7314 0.7314 0.6917  3 Np 2.80-2.83
S: 0.7511 0.3060 0.3112  2 Np 2.68-2.71
S: 0.7523 0.7523 0.3121  2 Np 2.69

Values from the calculation:
The calculation puts the density of states at the Fermi level at 26.2 states/eV/cell.

***

# 9
This record from the Alexandria database describes an optimized crystal structure of Rb2Np3TlS8. The functional is PBE.

Lattice parameters (Å, degrees): 9.2641 9.2641 9.2641 52.04 52.04 52.04
Closest atoms and distances in Å follow each position.
Positions (direct):
Rb: 0.0000 0.0000 0.0000  4 S 3.20-3.32
Rb: 0.3634 0.3634 0.3634  6 S 3.35-3.37
Np: 0.3637 0.3637 0.8646  6 S 2.62-2.74
Np: 0.3637 0.8646 0.3637  6 S 2.62-2.74
Np: 0.8646 0.3637 0.3637  6 S 2.62-2.74
Tl: 0.7449 0.7449 0.7449  3 S 2.94
S: 0.1052 0.1052 0.5538  2 Np 2.62
S: 0.1052 0.5538 0.1052  2 Np 2.62
S: 0.1384 0.1384 0.1384  3 Np 2.74
S: 0.1680 0.6241 0.6241  2 Np 2.65, 1 Tl 2.94
S: 0.5538 0.1052 0.1052  2 Np 2.62
S: 0.5883 0.5883 0.5883  3 Np 2.73
S: 0.6241 0.1680 0.6241  2 Np 2.65, 1 Tl 2.94
S: 0.6241 0.6241 0.1680  2 Np 2.65, 1 Tl 2.94

Values from the calculation:
The calculation puts the density of states at the Fermi level at 24.9 states/eV/cell.

***

# 10
This record from the Alexandria database describes an optimized crystal structure of Rb2NpTlS5. The functional is PBE.

Lattice parameters (Å, degrees): 9.8232 9.8232 14.3353 90.00 90.00 155.94
Closest atoms and distances in Å follow each position.
Positions (direct):
Rb: 0.1112 0.8888 0.5000  5 S 3.33-3.46
Rb: 0.1345 0.8655 0.1346  7 S 3.31-3.57
Rb: 0.8655 0.1345 0.6346  7 S 3.31-3.57
Rb: 0.8888 0.1112 0.0000  5 S 3.33-3.46
Np: 0.2086 0.7914 0.8427  5 S 2.44-2.71
Np: 0.7914 0.2086 0.3427  5 S 2.44-2.71
Tl: 0.4445 0.5555 0.2542  3 S 2.39-2.63
Tl: 0.5555 0.4445 0.7542  3 S 2.39-2.63
S: 0.0660 0.9340 0.8690  2 Tl 2.63, 1 Np 2.77
S: 0.2886 0.7114 0.4585  2 Np 2.64
S: 0.3036 0.6964 0.2202  2 Np 2.71, 1 Tl 2.75
S: 0.3349 0.6651 0.8242  1 Np 2.44
S: 0.4991 0.5009 0.6054  1 Tl 2.39
S: 0.5009 0.4991 0.1054  1 Tl 2.39
S: 0.6651 0.3349 0.3242  1 Np 2.44
S: 0.6964 0.3036 0.7202  2 Np 2.71, 1 Tl 2.75
S: 0.7114 0.2886 0.9585  2 Np 2.64
S: 0.9340 0.0660 0.3690  2 Tl 2.63, 1 Np 2.77

Values from the calculation:
The calculation puts the density of states at the Fermi level at 9.3 states/eV/cell.

***

# 11
This record from the Alexandria database describes an optimized crystal structure of Rb4TmNp3S8. The functional is PBE.

Lattice parameters (Å, degrees): 9.0162 9.0162 9.0162 54.16 54.16 54.16
Closest atoms and distances in Å follow each position.
Positions (direct):
Rb: 0.0000 0.0000 0.0000  6 S 3.38
Rb: 0.0000 0.5000 0.5000  6 S 3.34-3.36
Rb: 0.5000 0.0000 0.5000  6 S 3.34-3.36
Rb: 0.5000 0.5000 0.0000  6 S 3.34-3.36
Tm: 0.5000 0.5000 0.5000  6 S 2.75
Np: 0.0000 0.0000 0.5000  6 S 2.78-2.80
Np: 0.0000 0.5000 0.0000  6 S 2.78-2.80
Np: 0.5000 0.0000 0.0000  6 S 2.78-2.80
S: 0.2296 0.2296 0.2296  3 Np 2.78
S: 0.2354 0.7278 0.7278  1 Tm 2.75, 2 Np 2.80
S: 0.2722 0.2722 0.7646  1 Tm 2.75, 2 Np 2.80
S: 0.2722 0.7646 0.2722  1 Tm 2.75, 2 Np 2.80
S: 0.7278 0.2354 0.7278  1 Tm 2.75, 2 Np 2.80
S: 0.7278 0.7278 0.2354  1 Tm 2.75, 2 Np 2.80
S: 0.7646 0.2722 0.2722  1 Tm 2.75, 2 Np 2.80
S: 0.7704 0.7704 0.7704  3 Np 2.78

Values from the calculation:
The calculation puts the density of states at the Fermi level at 25.7 states/eV/cell.

***

# 12
This record from the Alexandria database describes an optimized crystal structure of Rb3Tm2NpS6. The functional is PBE.

Lattice parameters (Å, degrees): 7.0509 7.0509 8.0276 98.41 98.41 119.92
Closest atoms and distances in Å follow each position.
Positions (direct):
Rb: 0.0000 0.0000 0.0000  6 S 3.31-3.36
Rb: 0.3332 0.6668 0.0000  6 S 3.31-3.36
Rb: 0.6668 0.3332 0.0000  6 S 3.31-3.36
Tm: 0.1659 0.8341 0.5000  6 S 2.74-2.76
Tm: 0.8341 0.1659 0.5000  6 S 2.74-2.76
Np: 0.5000 0.5000 0.5000  6 S 2.81
S: 0.0963 0.4361 0.3096  2 Tm 2.75-2.76, 1 Np 2.81
S: 0.2235 0.2235 0.6909  2 Tm 2.74, 1 Np 2.81
S: 0.4361 0.0963 0.3096  2 Tm 2.75-2.76, 1 Np 2.81
S: 0.5639 0.9037 0.6904  2 Tm 2.75-2.76, 1 Np 2.81
S: 0.7765 0.7765 0.3091  2 Tm 2.74, 1 Np 2.81
S: 0.9037 0.5639 0.6904  2 Tm 2.75-2.76, 1 Np 2.81

Values from the calculation:
The calculation puts the density of states at the Fermi level at 7.4 states/eV/cell.

***

Energy relative to the elements, uncorrected for every record listed, in sequence, given in meV per atom: -1328; -1332; -1285; -907; -1058; -807; -954; -1169; -1163; -904; -1477; -1670.